DFT (PBEsol) results for a relaxed structure of Tc2MoBr.

## Properties
The calculation puts the total magnetization at 0.000 μB per atom. The crystal system is orthorhombic. The formation energy (no corrections) is 648 meV/atom. As for the polymorph energy (0 for the lowest one): 0 meV/atom.

Unit cell a=2.8426 b=2.8426 c=8.6853 alpha=90.00 beta=90.00 gamma=114.55
Positions (direct):
Mo: 0.5000 0.5000 0.0000
Tc: 0.0000 0.0000 0.2314
Tc: 0.0000 0.0000 0.7686
Br: 0.5000 0.5000 0.5000